VASP calculation (PBE+U) on a relaxed structure of LiVO2F2.

abc: 6.2952 3.5407 6.7187
angles: 90.00 111.05 90.00
Closest atoms and distances in Å follow each position.
Atoms (fractional coordinates):
1 Li 0.1701 0.2500 0.2025  3 F 2.03-2.08, 1 O 2.07
2 Li 0.8299 0.7500 0.7975  3 F 2.03-2.08, 1 O 2.07
3 V 0.3518 0.2500 0.7709  1 O 1.62
4 V 0.6482 0.7500 0.2291  1 O 1.62
5 O 0.1993 0.2500 0.5187  1 V 1.62
6 O 0.4048 0.7500 0.8505  2 V 1.84
7 O 0.5952 0.2500 0.1495  2 V 1.84
8 O 0.8007 0.7500 0.4813  1 V 1.62
9 F 0.1113 0.2500 0.8855  1 V 1.93, 1 Li 2.03
10 F 0.3541 0.7500 0.2525  1 V 1.91, 2 Li 2.08
11 F 0.6459 0.2500 0.7475  1 V 1.91, 2 Li 2.08
12 F 0.8887 0.7500 0.1145  1 V 1.93, 1 Li 2.03

## Properties
Its raw total energy is -74.1 eV/cell. The energy above the lowest structure with this stoichiometry is 0.001 eV/atom. As for the mass density: 3.0 Mg/m³.